# ScCrPt2O

A geometry-optimized ScCrPt2O structure (PBE with a Hubbard U, Alexandria via LeMat-Bulk).

```
5
Lattice="4.976 0.000 0.000 0.000 4.976 0.000 0.000 0.000 3.541" Properties=species:S:1:pos:R:3 pbc="T T T"
Sc 0.000 0.000 0.000
Cr 2.488 2.488 1.770
Pt 0.000 2.488 1.770
Pt 2.488 0.000 1.770
O 2.488 2.488 0.000
```

Output
Energy = -0.2397 Ha/atom
Density of states at the Fermi level = 2.13 states/eV per cell
Spin magnetization = 2.7 μB/cell